(1)
Below is a relaxed structure of Ce2Sb4Rh3, with properties calculated at the PBE level.

```
Ce2Sb4Rh3
1.0
16.272 0.000 0.000
0.000 4.558 0.000
0.000 0.000 10.957
Ce Sb Rh
8 16 12
Direct
0.003 0.250 0.243
0.248 0.750 0.587
0.252 0.250 0.087
0.497 0.750 0.743
0.503 0.250 0.257
0.748 0.750 0.913
0.752 0.250 0.413
0.997 0.750 0.757
0.068 0.750 0.440
0.106 0.750 0.062
0.149 0.250 0.770
0.213 0.250 0.385
0.287 0.750 0.885
0.351 0.750 0.270
0.394 0.250 0.562
0.432 0.250 0.940
0.568 0.750 0.060
0.606 0.750 0.438
0.649 0.250 0.730
0.713 0.250 0.115
0.787 0.750 0.615
0.851 0.750 0.230
0.894 0.250 0.938
0.932 0.250 0.560
0.056 0.250 0.965
0.092 0.250 0.550
0.186 0.750 0.273
0.314 0.250 0.773
0.408 0.750 0.050
0.444 0.750 0.465
0.556 0.250 0.535
0.592 0.250 0.950
0.686 0.750 0.227
0.814 0.250 0.727
0.908 0.750 0.450
0.944 0.750 0.035
```

Output
- space group = Pnma, No. 62
- calculated total energy (eV/f.u.) = -57.88
- total magnetization (Bohr magnetons per cell) = 3.51

=====

(2)
Below is a relaxed structure of Ce2ThCd2Ag2, with properties calculated at the PBE level.

```
Ce2ThCd2Ag2
1.0
2.455 1.417 8.309
-2.455 1.417 8.309
0.000 -2.834 8.309
Ce Th Cd Ag
2 1 2 2
Direct
0.137 0.137 0.137
0.863 0.863 0.863
0.000 0.000 0.000
0.268 0.268 0.268
0.732 0.732 0.732
0.409 0.409 0.409
0.591 0.591 0.591
```

Output
- space group = R-3m, No. 166
- total magnetization (Bohr magnetons per cell) = 1.64
- energy of formation (eV/atom) = -0.060

=====

(3)
Below is a relaxed structure of SrZrSc, with properties calculated at the PBE level.

```
SrZrSc
1.0
-1.704 1.704 7.768
1.704 -1.704 7.768
1.704 1.704 -7.768
Sr Zr Sc
1 1 1
Direct
0.000 0.000 0.000
0.319 0.319 0.000
0.693 0.693 0.000
```

Output
- space group = I4mm, No. 107
- energy above the lowest structure with this stoichiometry (eV/atom) = 0.000
- total magnetization (Bohr magnetons per cell) = 0.00
- energy of formation (eV/atom) = 0.274

=====

(4)
Below is a relaxed structure of RbFeGe, with properties calculated at the PBE level.

```
RbFeGe
1.0
4.070 0.000 0.000
2.035 3.526 0.000
0.061 2.020 12.072
Rb Fe Ge
2 2 2
Direct
0.249 0.012 0.187
0.751 0.988 0.813
0.340 0.820 0.524
0.660 0.180 0.476
0.029 0.439 0.605
0.971 0.561 0.395
```

Output
- space group = P-1, No. 2
- energy above the lowest structure with this stoichiometry (eV/atom) = 0.000
- total magnetization (Bohr magnetons per cell) = 4.62
- energy of formation (eV/atom) = 0.053

=====

(5)
Below is a relaxed structure of Ce12TlPt6, with properties calculated at the PBE level.

```
Ce12TlPt6
1.0
6.644 3.836 3.290
-6.644 3.836 3.290
0.000 -7.672 3.290
Ce Tl Pt
12 1 6
Direct
0.000 0.393 0.607
0.000 0.607 0.393
0.099 0.099 0.354
0.099 0.354 0.099
0.354 0.099 0.099
0.393 0.000 0.607
0.393 0.607 0.000
0.607 0.000 0.393
0.607 0.393 0.000
0.646 0.901 0.901
0.901 0.646 0.901
0.901 0.901 0.646
0.500 0.500 0.500
0.214 0.214 0.781
0.214 0.781 0.214
0.219 0.786 0.786
0.781 0.214 0.214
0.786 0.219 0.786
0.786 0.786 0.219
```

Output
- space group = R-3m, No. 166
- total magnetization (Bohr magnetons per cell) = 11.07
- energy of formation (eV/atom) = -0.528

=====

(6)
Below is a relaxed structure of Dy4Th3Sc, with properties calculated at the PBE level.

```
Dy4Th3Sc
1.0
7.757 -2.897 0.000
7.757 2.897 0.000
-2.065 0.000 5.554
Dy Th Sc
4 3 1
Direct
0.129 0.129 0.180
0.249 0.249 0.795
0.751 0.751 0.205
0.871 0.871 0.820
0.383 0.383 0.407
0.500 0.500 0.000
0.617 0.617 0.593
0.000 0.000 0.500
```

Output
- space group = C2/m, No. 12
- total magnetization (Bohr magnetons per cell) = 0.00
- energy of formation (eV/atom) = 0.133

=====

(7)
Below is a relaxed structure of AcDyAgPd, with properties calculated at the PBE level.

```
AcDyAgPd
1.0
0.000 3.740 3.740
3.740 0.000 3.740
3.740 3.740 0.000
Ac Dy Ag Pd
1 1 1 1
Direct
0.000 0.000 0.000
0.500 0.500 0.500
0.750 0.750 0.750
0.250 0.250 0.250
```

Output
- space group = F-43m, No. 216
- total magnetization (Bohr magnetons per cell) = 0.00
- energy of formation (eV/atom) = -0.474

=====

(8)
Below is a relaxed structure of CaTi2Tl, with properties calculated at the PBE level.

```
CaTi2Tl
1.0
0.000 3.499 3.499
3.499 0.000 3.499
3.499 3.499 0.000
Ca Ti Tl
1 2 1
Direct
0.000 0.000 0.000
0.250 0.250 0.250
0.750 0.750 0.750
0.500 0.500 0.500
```

Output
- space group = Fm-3m, No. 225
- energy above the lowest structure with this stoichiometry (eV/atom) = 0.000
- total magnetization (Bohr magnetons per cell) = 0.00
- energy of formation (eV/atom) = 0.420

=====

| no. | N(E_F) (states/eV/cell) |
| --- | --- |
| 1 | 44.866 |
| 2 | 12.758 |
| 3 | 3.214 |
| 4 | 3.543 |
| 5 | 56.409 |
| 6 | 13.868 |
| 7 | 3.205 |
| 8 | 6.034 |